No. 1
Compound: BaTc2MoAs
Source: the Alexandria database
Functional: PBE
Structure: optimized geometry

Output
formation enthalpy at 0 K = 462 kJ/mol of formula units

Cell lengths 4.7807, 4.7807, 4.8721 Å; angles 90.00, 90.00, 90.00 degrees
Space group P4/mmm (No. 123)
One atom of each set of equivalent atoms:
Ba: 0.0000 0.0000 0.0000 (multiplicity 1)
Tc: 0.0000 0.5000 0.5000 (multiplicity 2)
Mo: 0.5000 0.5000 0.0000 (multiplicity 1)
As: 0.5000 0.5000 0.5000 (multiplicity 1)


No. 2
Compound: Na5Pu3I12
Source: the Alexandria database
Functional: PBE
Structure: optimized geometry

Output
formation energy without anion corrections = -1.061 eV/atom

Cell lengths 18.6562, 18.6562, 18.6562 Å; angles 90.00, 90.00, 90.00 degrees
Space group Ia-3d (No. 230)
One atom of each set of equivalent atoms:
Na: 0.0000 0.0000 0.0000 (multiplicity 16)
Na: 0.0000 0.2500 0.3750 (multiplicity 24)
Pu: 0.0000 0.2500 0.1250 (multiplicity 24)
I: 0.0224 0.0712 0.6526 (multiplicity 96)


No. 3
Compound: AgH4I
Source: the Alexandria database
Functional: PBE
Structure: optimized geometry

Output
total DFT energy (no corrections) = -3.06 eV per atom

Cell lengths 4.4849, 4.5351, 11.3666 Å; angles 82.86, 85.32, 82.12 degrees
Space group P-1 (No. 2)
One atom of each set of equivalent atoms:
Ag: 0.2240 0.2241 0.4985 (multiplicity 2)
H: 0.0067 0.3350 0.9093 (multiplicity 2)
H: 0.1198 0.2074 0.9321 (multiplicity 2)
H: 0.4255 0.6778 0.9181 (multiplicity 2)
H: 0.4716 0.2259 0.1197 (multiplicity 2)
I: 0.3046 0.7690 0.3382 (multiplicity 2)


No. 4
Compound: EuDyAgPb
Source: the Alexandria database
Functional: PBE
Structure: optimized geometry

Output
formation enthalpy at 0 K = -164 kJ/mol of formula units

Cell lengths 7.6372, 7.6372, 7.6372 Å; angles 90.00, 90.00, 90.00 degrees
Space group F-43m (No. 216)
One atom of each set of equivalent atoms:
Eu: 0.0000 0.0000 0.0000 (multiplicity 4)
Dy: 0.0000 0.0000 0.5000 (multiplicity 4)
Ag: 0.2500 0.2500 0.2500 (multiplicity 4)
Pb: 0.2500 0.2500 0.7500 (multiplicity 4)